Entry from the Alexandria database: a relaxed structure of Ba2Li (GGA-PBE).

```
Ba2Li
1.0
7.9031 0.0000 0.0000
-3.9515 6.8443 0.0000
0.0000 0.0000 12.6887
Ba Li
8 4
Direct
0.8274 0.1726 0.2500 Ba
0.0000 0.0000 0.5000 Ba
0.6549 0.8274 0.7500 Ba
0.1726 0.3451 0.7500 Ba
0.0000 0.0000 0.0000 Ba
0.1726 0.8274 0.7500 Ba
0.3451 0.1726 0.2500 Ba
0.8274 0.6549 0.2500 Ba
0.6667 0.3333 0.5530 Li
0.3333 0.6667 0.4470 Li
0.3333 0.6667 0.0530 Li
0.6667 0.3333 0.9470 Li
```

Results
Polymorph energy (0 for the lowest one) = 106 kJ/mol of formula units
Theoretical density = 2.73 Mg/m³
Symmetry = P6_3/mmc, No. 194
Formation energy = 0.397 eV per atom

---

Entry from the Alexandria database: a relaxed structure of Ba3Li4 (GGA-PBE).

```
Ba3Li4
1.0
3.9592 -6.8576 0.0000
3.9592 6.8576 0.0000
0.0000 0.0000 5.7385
Ba Li
3 4
Direct
0.0000 0.5000 0.0000 Ba
0.5000 0.0000 0.0000 Ba
0.5000 0.5000 0.0000 Ba
0.6667 0.3333 0.5000 Li
0.0000 0.0000 0.2529 Li
0.3333 0.6667 0.5000 Li
0.0000 0.0000 0.7471 Li
```

Results
Polymorph energy (0 for the lowest one) = 155 kJ/mol of formula units
Theoretical density = 2.34 Mg/m³
Symmetry = P6/mmm, No. 191
Formation energy = 0.278 eV per atom

---

Entry from the Alexandria database: a relaxed structure of Ba2Li (GGA-PBE).

```
Ba2Li
1.0
8.6767 0.0000 0.0000
0.0000 8.6767 0.0000
0.0000 0.0000 8.6767
Ba Li
8 4
Direct
0.8410 0.3410 0.8410 Ba
0.6590 0.8410 0.8410 Ba
0.1590 0.6590 0.1590 Ba
0.8410 0.1590 0.3410 Ba
0.1590 0.8410 0.6590 Ba
0.6590 0.6590 0.3410 Ba
0.3410 0.3410 0.6590 Ba
0.3410 0.1590 0.1590 Ba
0.5000 0.5000 0.0000 Li
0.5000 0.0000 0.5000 Li
0.0000 0.0000 0.0000 Li
0.0000 0.5000 0.5000 Li
```

Results
Polymorph energy (0 for the lowest one) = 38 kJ/mol of formula units
Theoretical density = 2.86 Mg/m³
Symmetry = Pa-3, No. 205
Formation energy = 0.161 eV per atom